A relaxed structure of TlIn3Se3, computed with GGA-PBE.

Cell and atoms, written as POSCAR:
```
TlIn3Se3
1.0
-2.231 0.689 3.280
-8.043 5.480 -6.621
-0.826 -11.593 1.872
Tl In Se
2 6 6
Direct
0.750 0.333 0.667
0.250 0.667 0.333
0.750 0.602 0.985
0.750 0.384 0.398
0.750 0.015 0.616
0.250 0.398 0.015
0.250 0.616 0.602
0.250 0.985 0.384
0.750 0.826 0.223
0.750 0.397 0.174
0.750 0.777 0.603
0.250 0.174 0.777
0.250 0.603 0.826
0.250 0.223 0.397
```

Fermi-level density of states	0.138	states/eV/atom
magnetization	0.000	μB/atom
SG	P6_3/m (176)
final energy	-3.33	eV per atom